Below is a crystal of Ta2Pt relaxed with PBEsol, with properties calculated at the meta-GGA SCAN level.

Cell lengths 4.094, 12.763, 3.811 Å; angles 90.00, 90.00, 90.00 degrees
Space group Cmcm (No. 63)
One atom of each set of equivalent atoms:
Ta1 0.000 0.077 0.250 (multiplicity 4)
Ta2 0.000 0.247 0.750 (multiplicity 4)
Pt1 0.000 0.419 0.250 (multiplicity 4)

Summary:
- DFT formation energy (eV/f.u.) = -1.614
- crystal system = orthorhombic
- calculated total energy (eV for the cell shown) = -819.90
- Fermi-level density of states (states/eV/atom) = 0.583
- magnetization (μB per formula unit) = 0.0



Below is a crystal of Ta11Pt4 relaxed with PBEsol, with properties calculated at the meta-GGA SCAN level.

Cell lengths 9.926, 9.926, 5.214 Å; angles 90.00, 90.00, 90.00 degrees
Space group P4_2/mnm (No. 136)
One atom of each set of equivalent atoms:
Ta1 0.000 0.000 0.000 (multiplicity 2)
Ta2 0.067 0.271 0.000 (multiplicity 8)
Ta3 0.104 0.104 0.500 (multiplicity 4)
Ta4 0.180 0.820 0.251 (multiplicity 8)
Pt1 0.038 0.363 0.500 (multiplicity 8)

Summary:
- DFT formation energy (eV/f.u.) = -6.805
- crystal system = tetragonal
- calculated total energy (eV for the cell shown) = -2039.99
- Fermi-level density of states (states/eV/atom) = 0.412
- magnetization (μB per formula unit) = 0.0



Below is a crystal of Ta3Pt relaxed with PBEsol, with properties calculated at the meta-GGA SCAN level.

Cell lengths 5.816, 8.265, 2.819 Å; angles 90.00, 90.00, 90.00 degrees
Space group Cmmm (No. 65)
One atom of each set of equivalent atoms:
Ta1 0.000 0.000 0.000 (multiplicity 2)
Ta2 0.250 0.250 0.500 (multiplicity 4)
Pt1 0.000 0.500 0.000 (multiplicity 2)

Summary:
- DFT formation energy (eV/f.u.) = -0.860
- crystal system = orthorhombic
- calculated total energy (eV for the cell shown) = -541.61
- Fermi-level density of states (states/eV/atom) = 1.155
- magnetization (μB per formula unit) = 0.0



Below is a crystal of Ta2Pt relaxed with PBEsol, with properties calculated at the meta-GGA SCAN level.

Cell lengths 4.6457, 4.6457, 5.3919 Å; angles 90.00, 90.00, 120.00 degrees
Space group P6_3/mmc (No. 194)
One atom of each set of equivalent atoms:
Ta1 0.0000 0.0000 0.0000 (multiplicity 2)
Ta2 0.3333 0.6667 0.2500 (multiplicity 2)
Pt1 0.3333 0.6667 0.7500 (multiplicity 2)

Summary:
- DFT formation energy (eV/f.u.) = -1.429
- crystal system = hexagonal
- calculated total energy (eV for the cell shown) = -409.58
- Fermi-level density of states (states/eV/atom) = 0.956
- magnetization (μB per formula unit) = 0.0



Below is a crystal of TaPt3 relaxed with PBEsol, with properties calculated at the meta-GGA SCAN level.

Cell lengths 4.555, 5.537, 4.866 Å; angles 90.00, 90.00, 90.00 degrees
Space group Pmmn (No. 59, origin choice 2)
One atom of each set of equivalent atoms:
Ta1 0.250 0.250 0.160 (multiplicity 2)
Pt1 0.250 0.000 0.666 (multiplicity 4)
Pt2 0.250 0.750 0.160 (multiplicity 2)

Summary:
- DFT formation energy (eV/f.u.) = -3.221
- crystal system = orthorhombic
- calculated total energy (eV for the cell shown) = -560.77
- Fermi-level density of states (states/eV/atom) = 0.563
- magnetization (μB per formula unit) = 0.0



Below is a crystal of TaPt relaxed with PBEsol, with properties calculated at the meta-GGA SCAN level.

Cell lengths 4.0276, 4.0276, 5.2823 Å; angles 90.00, 90.00, 120.00 degrees
Space group P6_3/mmc (No. 194)
One atom of each set of equivalent atoms:
Ta1 0.3333 0.6667 0.2500 (multiplicity 2)
Pt1 0.0000 0.0000 0.0000 (multiplicity 2)

Summary:
- DFT formation energy (eV/f.u.) = -0.790
- crystal system = hexagonal
- calculated total energy (eV for the cell shown) = -275.13
- Fermi-level density of states (states/eV/atom) = 0.854
- magnetization (μB per formula unit) = 0.0



Below is a crystal of Ta3Pt relaxed with PBEsol, with properties calculated at the meta-GGA SCAN level.

Cell lengths 9.1566, 9.1566, 2.7647 Å; angles 90.00, 90.00, 120.00 degrees
Space group R-3m (No. 166, hexagonal axes)
One atom of each set of equivalent atoms:
Ta1 0.0000 0.5000 0.0000 (multiplicity 9)
Pt1 0.0000 0.0000 0.0000 (multiplicity 3)

Summary:
- DFT formation energy (eV/f.u.) = -1.455
- crystal system = trigonal
- calculated total energy (eV for the cell shown) = -814.19
- Fermi-level density of states (states/eV/atom) = 0.658
- magnetization (μB per formula unit) = 0.0



Below is a crystal of Ta3Pt relaxed with PBEsol, with properties calculated at the meta-GGA SCAN level.

Cell lengths 4.878, 4.878, 4.878 Å; angles 90.00, 90.00, 90.00 degrees
Space group Pm-3m (No. 221)
One atom of each set of equivalent atoms:
Ta1 0.000 0.000 0.500 (multiplicity 3)
Pt1 0.000 0.000 0.000 (multiplicity 1)

Summary:
- DFT formation energy (eV/f.u.) = 7.898
- crystal system = cubic
- calculated total energy (eV for the cell shown) = -262.05
- Fermi-level density of states (states/eV/atom) = 1.054
- magnetization (μB per formula unit) = 0.0



Below is a crystal of TaPt3 relaxed with PBEsol, with properties calculated at the meta-GGA SCAN level.

Cell lengths 2.788, 3.969, 5.562 Å; angles 90.00, 90.00, 90.00 degrees
Space group Pmmm (No. 47)
One atom of each set of equivalent atoms:
Ta1 0.000 0.000 0.000 (multiplicity 1)
Pt1 0.000 0.000 0.500 (multiplicity 1)
Pt2 0.500 0.500 0.247 (multiplicity 2)

Summary:
- DFT formation energy (eV/f.u.) = -2.598
- crystal system = orthorhombic
- calculated total energy (eV for the cell shown) = -279.76
- Fermi-level density of states (states/eV/atom) = 0.460
- magnetization (μB per formula unit) = 0.0



Below is a crystal of TaPt relaxed with PBEsol, with properties calculated at the meta-GGA SCAN level.

Cell lengths 9.276, 2.845, 4.972 Å; angles 90.00, 99.89, 90.00 degrees
Space group C2/m (No. 12)
One atom of each set of equivalent atoms:
Ta1 0.124 0.000 0.345 (multiplicity 4)
Pt1 0.123 0.500 0.854 (multiplicity 4)

Summary:
- DFT formation energy (eV/f.u.) = -1.372
- crystal system = monoclinic
- calculated total energy (eV for the cell shown) = -552.59
- Fermi-level density of states (states/eV/atom) = 0.655
- magnetization (μB per formula unit) = 0.0



Below is a crystal of Ta2Pt relaxed with PBEsol, with properties calculated at the meta-GGA SCAN level.

Cell lengths 10.614, 2.841, 6.986 Å; angles 90.00, 107.61, 90.00 degrees
Space group Cm (No. 8)
One atom of each set of equivalent atoms:
Ta1 0.000 0.000 0.000 (multiplicity 2)
Ta2 0.048 0.000 0.586 (multiplicity 2)
Ta3 0.218 0.500 0.918 (multiplicity 2)
Ta4 0.356 0.000 0.270 (multiplicity 2)
Pt1 0.146 0.500 0.324 (multiplicity 2)
Pt2 0.333 0.000 0.663 (multiplicity 2)

Summary:
- DFT formation energy (eV/f.u.) = -1.088
- crystal system = monoclinic
- calculated total energy (eV for the cell shown) = -817.79
- Fermi-level density of states (states/eV/atom) = 0.840
- magnetization (μB per formula unit) = 0.0



Below is a crystal of TaTcPt2 relaxed with PBEsol, with properties calculated at the meta-GGA SCAN level.

Cell lengths 3.963, 3.963, 7.714 Å; angles 90.00, 90.00, 90.00 degrees
Space group I-4m2 (No. 119)
One atom of each set of equivalent atoms:
Ta1 0.000 0.000 0.000 (multiplicity 2)
Tc1 0.000 0.500 0.750 (multiplicity 2)
Pt1 0.000 0.000 0.500 (multiplicity 2)
Pt2 0.000 0.500 0.250 (multiplicity 2)

Summary:
- DFT formation energy (eV/f.u.) = -2.040
- crystal system = tetragonal
- calculated total energy (eV for the cell shown) = -488.14
- relative energy among the computed polymorphs (eV/atom) = 0.180
- Fermi-level density of states (states/eV/atom) = 1.099
- magnetization (μB per formula unit) = 0.0